TiCrPO2: relaxed, PBE+U.

a = 3.7548 Å, b = 3.7548 Å, c = 5.3236 Å
α = 90.00°, β = 90.00°, γ = 90.00°
Fractional positions:
O (0.0000, 0.5000, 0.0000)
O (0.5000, 0.0000, 0.0000)
P (0.0000, 0.0000, 0.5000)
Ti (0.0000, 0.0000, 0.0000)
Cr (0.5000, 0.5000, 0.5000)

Properties
The energy above the most stable polymorph in this dataset comes out at 0 meV per atom. The calculation puts the density of states at the Fermi level at 0.7099 states/eV per atom. The space group is P4/mmm (123).